VASP calculation (meta-GGA SCAN) on a PBEsol-optimized structure of ZrCd4Si.

Cell lengths 5.596, 5.596, 5.596 Å; angles 60.00, 60.00, 60.00 degrees
Atoms (fractional coordinates):
1 Zr 0.000 0.000 0.000
2 Cd 0.375 0.876 0.375
3 Cd 0.375 0.375 0.876
4 Si 0.750 0.750 0.750
5 Cd 0.876 0.375 0.375
6 Cd 0.375 0.375 0.375

Computed properties:
Raw formation energy (kJ/mol of formula units): 203
Space group: F-43m